No. 1
Density functional theory data (meta-GGA SCAN) for a crystal of NiHg2Os relaxed with PBEsol.

a = 4.501 Å, b = 4.501 Å, c = 4.501 Å
α = 60.00°, β = 60.00°, γ = 60.00°
Atoms (fractional coordinates):
Ni1 0.000 0.000 0.000
Hg1 0.500 0.500 0.500
Hg2 0.750 0.750 0.750
Os1 0.250 0.250 0.250

Summary:
* energy of formation from the pure elements: 0.95 eV per atom
* spin magnetization: 2.2 μB/f.u.
* offset from the most stable computed form: 250 meV/atom
* density of states at the Fermi level: 0.908 states/eV per atom
* symmetry: No. 216
* density: 16.74 g/cm3

---

No. 2
Density functional theory data (meta-GGA SCAN) for a crystal of Ni2HgOs relaxed with PBEsol.

a = 4.245 Å, b = 4.245 Å, c = 4.245 Å
α = 60.00°, β = 60.00°, γ = 60.00°
Atoms (fractional coordinates):
Ni1 0.250 0.250 0.250
Ni2 0.750 0.750 0.750
Hg1 0.000 0.000 0.000
Os1 0.500 0.500 0.500

Summary:
* energy of formation from the pure elements: 0.58 eV per atom
* spin magnetization: 2.4 μB/f.u.
* density of states at the Fermi level: 0.876 states/eV per atom
* symmetry: No. 225
* density: 15.60 g/cm3

---

No. 3
Density functional theory data (meta-GGA SCAN) for a crystal of NiHg2Os relaxed with PBEsol.

a = 2.812 Å, b = 3.812 Å, c = 5.930 Å
α = 90.00°, β = 90.11°, γ = 90.00°
Atoms (fractional coordinates):
Ni1 0.000 0.000 0.000
Hg1 0.499 0.500 0.239
Hg2 0.501 0.500 0.761
Os1 0.000 0.000 0.500

Summary:
* energy of formation from the pure elements: 0.82 eV per atom
* spin magnetization: 0.0 μB/f.u.
* offset from the most stable computed form: 120 meV/atom
* density of states at the Fermi level: 1.001 states/eV per atom
* symmetry: No. 10
* density: 16.98 g/cm3

---

No. 4
Density functional theory data (meta-GGA SCAN) for a crystal of NiHg2Os relaxed with PBEsol.

a = 4.883 Å, b = 4.883 Å, c = 4.883 Å
α = 131.38°, β = 131.38°, γ = 71.21°
Atoms (fractional coordinates):
Ni1 0.000 0.000 0.000
Hg1 0.250 0.750 0.500
Hg2 0.500 0.500 0.000
Os1 0.750 0.250 0.500

Summary:
* energy of formation from the pure elements: 0.88 eV per atom
* spin magnetization: 1.9 μB/f.u.
* offset from the most stable computed form: 178 meV/atom
* density of states at the Fermi level: 0.757 states/eV per atom
* symmetry: No. 119
* density: 16.83 g/cm3

---

No. 5
Density functional theory data (meta-GGA SCAN) for a crystal of Ni2HgOs relaxed with PBEsol.

a = 8.618 Å, b = 8.618 Å, c = 8.618 Å
α = 18.27°, β = 18.27°, γ = 18.27°
Atoms (fractional coordinates):
Ni1 0.244 0.244 0.244
Ni2 0.756 0.756 0.756
Hg1 0.000 0.000 0.000
Os1 0.500 0.500 0.500

Summary:
* energy of formation from the pure elements: 0.37 eV per atom
* spin magnetization: 0.0 μB/f.u.
* density of states at the Fermi level: 0.664 states/eV per atom
* symmetry: No. 166
* density: 15.36 g/cm3

---

No. 6
Density functional theory data (meta-GGA SCAN) for a crystal of NiHgOs2Pt relaxed with PBEsol.

a = 4.704 Å, b = 4.704 Å, c = 4.546 Å
α = 90.00°, β = 90.00°, γ = 90.00°
Atoms (fractional coordinates):
Ni1 0.000 0.000 0.000
Hg1 0.500 0.500 0.000
Os1 0.000 0.500 0.500
Os2 0.500 0.000 0.500
Pt1 0.000 0.000 0.500

Summary:
* energy of formation from the pure elements: 1.98 eV per atom
* spin magnetization: 2.5 μB/f.u.
* density of states at the Fermi level: 0.886 states/eV per atom
* symmetry: No. 123
* density: 13.78 g/cm3

---

No. 7
Density functional theory data (meta-GGA SCAN) for a crystal of NiHg3P relaxed with PBEsol.

a = 5.000 Å, b = 5.000 Å, c = 5.000 Å
α = 90.00°, β = 90.00°, γ = 90.00°
Atoms (fractional coordinates):
Ni1 0.000 0.000 0.000
Hg1 0.000 0.500 0.500
Hg2 0.500 0.000 0.500
Hg3 0.500 0.500 0.000
P1 0.500 0.500 0.500

Summary:
* energy of formation from the pure elements: 0.85 eV per atom
* spin magnetization: 1.5 μB/f.u.
* density of states at the Fermi level: 1.128 states/eV per atom
* symmetry: No. 221
* density: 9.19 g/cm3

---

No. 8
Density functional theory data (meta-GGA SCAN) for a crystal of Ni2HgP relaxed with PBEsol.

a = 3.044 Å, b = 3.044 Å, c = 6.017 Å
α = 90.00°, β = 90.00°, γ = 90.00°
Atoms (fractional coordinates):
Ni1 0.000 0.000 0.000
Ni2 0.500 0.500 0.236
Hg1 0.500 0.500 0.733
P1 0.000 0.000 0.359

Summary:
* energy of formation from the pure elements: 0.04 eV per atom
* spin magnetization: 0.0 μB/f.u.
* density of states at the Fermi level: 0.582 states/eV per atom
* symmetry: No. 99
* density: 10.39 g/cm3

---

No. 9
Density functional theory data (meta-GGA SCAN) for a crystal of Ni2HgP relaxed with PBEsol.

a = 4.247 Å, b = 4.247 Å, c = 2.960 Å
α = 90.00°, β = 90.00°, γ = 90.15°
Atoms (fractional coordinates):
Ni1 0.000 0.500 0.000
Ni2 0.500 0.000 0.000
Hg1 0.000 0.000 0.500
P1 0.500 0.500 0.500

Summary:
* energy of formation from the pure elements: 0.30 eV per atom
* spin magnetization: 0.0 μB/f.u.
* density of states at the Fermi level: 0.563 states/eV per atom
* symmetry: No. 65
* density: 10.85 g/cm3

---

No. 10
Density functional theory data (meta-GGA SCAN) for a crystal of NiHgP relaxed with PBEsol.

a = 4.223 Å, b = 4.223 Å, c = 4.223 Å
α = 60.00°, β = 60.00°, γ = 60.00°
Atoms (fractional coordinates):
Ni1 0.000 0.000 0.000
Hg1 0.250 0.250 0.250
P1 0.500 0.500 0.500

Summary:
* energy of formation from the pure elements: 0.75 eV per atom
* spin magnetization: 0.0 μB/f.u.
* density of states at the Fermi level: 0.835 states/eV per atom
* symmetry: No. 216
* density: 9.05 g/cm3

---

No. 11
Density functional theory data (meta-GGA SCAN) for a crystal of NiHgP2S relaxed with PBEsol.

a = 4.299 Å, b = 4.299 Å, c = 4.776 Å
α = 90.00°, β = 90.00°, γ = 90.00°
Atoms (fractional coordinates):
Ni1 0.000 0.000 0.000
Hg1 0.500 0.500 0.500
P1 0.000 0.500 0.000
P2 0.500 0.000 0.000
S1 0.000 0.000 0.500

Summary:
* spin magnetization: 1.0 μB/f.u.
* density of states at the Fermi level: 0.670 states/eV per atom
* symmetry: No. 123
* density: 6.65 g/cm3
* formation energy from raw total energies: 59.0 kJ/mol of atoms

---

No. 12
Density functional theory data (meta-GGA SCAN) for a crystal of NiHg2Pb relaxed with PBEsol.

a = 6.449 Å, b = 6.449 Å, c = 6.449 Å
α = 152.29°, β = 138.47°, γ = 50.66°
Atoms (fractional coordinates):
Ni1 0.000 0.000 0.000
Hg1 0.193 0.693 0.500
Hg2 0.807 0.307 0.500
Pb1 0.500 0.500 0.000

Summary:
* energy of formation from the pure elements: 0.22 eV per atom
* spin magnetization: 0.0 μB/f.u.
* density of states at the Fermi level: 0.484 states/eV per atom
* symmetry: No. 71
* density: 13.46 g/cm3

---

No. 13
Density functional theory data (meta-GGA SCAN) for a crystal of Ni2HgPb relaxed with PBEsol.

a = 4.567 Å, b = 4.567 Å, c = 4.567 Å
α = 60.00°, β = 60.00°, γ = 60.00°
Atoms (fractional coordinates):
Ni1 0.000 0.000 0.000
Ni2 0.250 0.250 0.250
Hg1 0.500 0.500 0.500
Pb1 0.750 0.750 0.750

Summary:
* energy of formation from the pure elements: 0.62 eV per atom
* spin magnetization: 0.0 μB/f.u.
* density of states at the Fermi level: 0.904 states/eV per atom
* symmetry: No. 216
* density: 12.95 g/cm3

---

No. 14
Density functional theory data (meta-GGA SCAN) for a crystal of NiHgPd3 relaxed with PBEsol.

a = 4.497 Å, b = 4.497 Å, c = 4.497 Å
α = 90.00°, β = 90.00°, γ = 90.00°
Atoms (fractional coordinates):
Ni1 0.000 0.000 0.000
Hg1 0.500 0.500 0.500
Pd1 0.000 0.000 0.500
Pd2 0.000 0.500 0.000
Pd3 0.500 0.000 0.000

Summary:
* energy of formation from the pure elements: 0.65 eV per atom
* spin magnetization: 1.3 μB/f.u.
* density of states at the Fermi level: 1.336 states/eV per atom
* symmetry: No. 221
* density: 10.56 g/cm3

---

No. 15
Density functional theory data (meta-GGA SCAN) for a crystal of ZrNiHgPd2 relaxed with PBEsol.

a = 4.755 Å, b = 4.755 Å, c = 5.317 Å
α = 90.00°, β = 90.00°, γ = 90.00°
Atoms (fractional coordinates):
Zr1 0.000 0.000 0.000
Ni1 0.500 0.500 0.500
Hg1 0.000 0.000 0.500
Pd1 0.000 0.500 0.000
Pd2 0.500 0.000 0.000

Summary:
* energy of formation from the pure elements: 1.19 eV per atom
* spin magnetization: 0.8 μB/f.u.
* density of states at the Fermi level: 1.137 states/eV per atom
* symmetry: No. 123
* density: 7.78 g/cm3

---

No. 16
Density functional theory data (meta-GGA SCAN) for a crystal of NiHg2Pt relaxed with PBEsol.

a = 4.605 Å, b = 4.605 Å, c = 5.203 Å
α = 101.23°, β = 101.23°, γ = 37.83°
Atoms (fractional coordinates):
Ni1 0.000 0.000 0.000
Hg1 0.257 0.257 0.762
Hg2 0.743 0.743 0.238
Pt1 0.500 0.500 0.500

Summary:
* energy of formation from the pure elements: 0.24 eV per atom
* spin magnetization: 0.0 μB/f.u.
* density of states at the Fermi level: 0.718 states/eV per atom
* symmetry: No. 12
* density: 16.42 g/cm3

---

No. 17
Density functional theory data (meta-GGA SCAN) for a crystal of NiHg2Pt relaxed with PBEsol.

a = 8.646 Å, b = 8.646 Å, c = 8.646 Å
α = 19.99°, β = 19.99°, γ = 19.99°
Atoms (fractional coordinates):
Ni1 0.000 0.000 0.000
Hg1 0.255 0.255 0.255
Hg2 0.745 0.745 0.745
Pt1 0.500 0.500 0.500

Summary:
* energy of formation from the pure elements: 0.25 eV per atom
* spin magnetization: 0.0 μB/f.u.
* density of states at the Fermi level: 0.649 states/eV per atom
* symmetry: No. 166
* density: 16.45 g/cm3

---

No. 18
Density functional theory data (meta-GGA SCAN) for a crystal of NiHg2Ru relaxed with PBEsol.

a = 2.900 Å, b = 2.900 Å, c = 7.679 Å
α = 90.00°, β = 90.00°, γ = 90.00°
Atoms (fractional coordinates):
Ni1 0.000 0.000 0.000
Hg1 0.000 0.000 0.443
Hg2 0.500 0.500 0.766
Ru1 0.500 0.500 0.179

Summary:
* energy of formation from the pure elements: 0.37 eV per atom
* spin magnetization: 1.6 μB/f.u.
* density of states at the Fermi level: 0.777 states/eV per atom
* symmetry: No. 99
* density: 14.43 g/cm3

---

No. 19
Density functional theory data (meta-GGA SCAN) for a crystal of NiHgRu relaxed with PBEsol.

a = 2.784 Å, b = 2.784 Å, c = 6.523 Å
α = 90.00°, β = 90.00°, γ = 120.00°
Atoms (fractional coordinates):
Ni1 0.000 0.000 0.000
Hg1 0.333 0.667 0.341
Ru1 0.667 0.333 0.714

Summary:
* energy of formation from the pure elements: 0.47 eV per atom
* spin magnetization: 0.0 μB/f.u.
* offset from the most stable computed form: 0 meV/atom
* density of states at the Fermi level: 0.795 states/eV per atom
* symmetry: No. 156
* density: 13.66 g/cm3

---

No. 20
Density functional theory data (meta-GGA SCAN) for a crystal of NiHgRu2 relaxed with PBEsol.

a = 2.903 Å, b = 2.903 Å, c = 6.758 Å
α = 90.00°, β = 90.00°, γ = 90.00°
Atoms (fractional coordinates):
Ni1 0.000 0.000 0.000
Hg1 0.000 0.000 0.500
Ru1 0.500 0.500 0.200
Ru2 0.500 0.500 0.800

Summary:
* energy of formation from the pure elements: 0.46 eV per atom
* spin magnetization: 0.0 μB/f.u.
* density of states at the Fermi level: 0.917 states/eV per atom
* symmetry: No. 123
* density: 13.45 g/cm3